Entry 1:
First-principles (PBE) data for a relaxed structure of ZnCoTcPb, as listed in the Open Quantum Materials Database.

Cell lengths 4.4563, 4.4563, 4.4563 Å; angles 60.00, 60.00, 60.00 degrees
Last column: nearest neighbours and their distance in Å.
Positions (direct):
1 Zn 0.0000 0.0000 0.0000  4 Tc 2.73, 4 Co 2.73
2 Co 0.7500 0.7500 0.7500  4 Pb 2.73, 4 Zn 2.73
3 Tc 0.2500 0.2500 0.2500  4 Pb 2.73, 4 Zn 2.73
4 Pb 0.5000 0.5000 0.5000  4 Co 2.73, 4 Tc 2.73

Calculated values
Relative energy among the computed polymorphs: 0.0 meV/atom
Total magnetization: 0.56 μB/f.u.
Raw total energy: -5.110 eV per atom



Entry 2:
First-principles (PBE) data for a relaxed structure of PrNdGe4Ir2, as listed in the Open Quantum Materials Database.

Cell lengths 4.4277, 8.8732, 8.8732 Å; angles 28.50, 90.00, 90.00 degrees
Last column: nearest neighbours and their distance in Å.
Positions (direct):
1 Pr 0.0000 0.0000 0.0000  10 Ge 3.25-3.35, 5 Ir 3.34-3.64
2 Nd 0.5000 0.7826 0.7826  10 Ge 3.26-3.35, 5 Ir 3.34-3.64
3 Ge 0.0000 0.3523 0.3523  1 Ir 2.42, 2 Ge 2.59
4 Ge 0.0000 0.6403 0.6403  4 Ir 2.51-2.52
5 Ge 0.5000 0.1419 0.1419  4 Ir 2.50-2.52
6 Ge 0.5000 0.4305 0.4305  1 Ir 2.41, 2 Ge 2.59
7 Ir 0.0000 0.2119 0.2119  5 Ge 2.42-2.52
8 Ir 0.5000 0.5707 0.5707  5 Ge 2.41-2.52

Calculated values
Total magnetization: 0.00 μB/f.u.
Raw total energy: -6.494 eV per atom



Entry 3:
First-principles (PBE) data for a relaxed structure of AcGe2Pt, as listed in the Open Quantum Materials Database.

Cell lengths 9.1409, 9.1409, 4.5244 Å; angles 90.00, 90.00, 151.33 degrees
Last column: nearest neighbours and their distance in Å.
Positions (direct):
1 Ac 0.1090 0.8910 0.7500  10 Ge 3.37-3.45, 5 Pt 3.43-3.75
2 Ac 0.8910 0.1090 0.2500  10 Ge 3.37-3.45, 5 Pt 3.43-3.75
3 Ge 0.2500 0.7500 0.2500  4 Pt 2.59
4 Ge 0.4633 0.5367 0.7500  1 Pt 2.52, 2 Ge 2.61
5 Ge 0.5367 0.4633 0.2500  1 Pt 2.52, 2 Ge 2.61
6 Ge 0.7500 0.2500 0.7500  4 Pt 2.59
7 Pt 0.3208 0.6792 0.7500  5 Ge 2.52-2.59
8 Pt 0.6792 0.3208 0.2500  5 Ge 2.52-2.59

Calculated values
Total magnetization: 0.00 μB/f.u.
Raw total energy: -5.753 eV per atom



Entry 4:
First-principles (PBE) data for a relaxed structure of NbTePt2, as listed in the Open Quantum Materials Database.

Cell lengths 4.6555, 4.6555, 4.6555 Å; angles 60.00, 60.00, 60.00 degrees
Last column: nearest neighbours and their distance in Å.
Positions (direct):
1 Nb 0.0000 0.0000 0.0000  4 Te 2.85, 4 Pt 2.85
2 Te 0.2500 0.2500 0.2500  4 Pt 2.85, 4 Nb 2.85
3 Pt 0.5000 0.5000 0.5000  4 Pt 2.85, 4 Te 2.85
4 Pt 0.7500 0.7500 0.7500  4 Pt 2.85, 4 Nb 2.85

Calculated values
Total magnetization: 0.01 μB/f.u.
Raw total energy: -6.471 eV per atom